ScBeBi3 | SCAN | single point on PBEsol structure

```
ScBeBi3
1.0
5.477 0.000 0.000
0.000 5.477 0.000
0.000 0.000 5.477
Sc Be Bi
1 1 3
direct
0.000 0.000 0.000
0.500 0.500 0.500
0.000 0.000 0.500
0.000 0.500 0.000
0.500 0.000 0.000
```

Summary:
raw total energy: -50.096 eV per atom